Entry 1:
The following is a PBE calculation of a geometry-optimized AcGdGaPb structure, from Alexandria via LeMat-Bulk.

Results
Raw total energy in eV per atom: -6.649
SG: F-43m (216)
Mass density in Mg/m³: 9.10
Size of the total moment in μB/f.u.: 7.1

a = 5.546 Å, b = 5.546 Å, c = 5.546 Å
α = 60.00°, β = 60.00°, γ = 60.00°
Fractional positions:
Gd: 0.000 0.000 0.000
Pb: 0.250 0.250 0.250
Ac: 0.500 0.500 0.500
Ga: 0.750 0.750 0.750

Entry 2:
The following is a PBE calculation of a geometry-optimized AcGdGaPd structure, from Alexandria via LeMat-Bulk.

Results
Raw total energy in eV per atom: -7.176
SG: F-43m (216)
Mass density in Mg/m³: 8.92
Size of the total moment in μB/f.u.: 7.2

a = 5.284 Å, b = 5.284 Å, c = 5.284 Å
α = 60.00°, β = 60.00°, γ = 60.00°
Fractional positions:
Gd: 0.000 0.000 0.000
Pd: 0.750 0.750 0.750
Ga: 0.250 0.250 0.250
Ac: 0.500 0.500 0.500

Entry 3:
The following is a PBE calculation of a geometry-optimized AcPrGdGa structure, from Alexandria via LeMat-Bulk.

Results
Raw total energy in eV per atom: -6.496
SG: F-43m (216)
Mass density in Mg/m³: 7.99
Size of the total moment in μB/f.u.: 8.1

a = 5.591 Å, b = 5.591 Å, c = 5.591 Å
α = 60.00°, β = 60.00°, γ = 60.00°
Fractional positions:
Ga: 0.250 0.250 0.250
Ac: 0.750 0.750 0.750
Gd: 0.000 0.000 0.000
Pr: 0.500 0.500 0.500

Entry 4:
The following is a PBE calculation of a geometry-optimized AcGdGaPt structure, from Alexandria via LeMat-Bulk.

Results
Raw total energy in eV per atom: -7.525
SG: F-43m (216)
Mass density in Mg/m³: 10.40
Size of the total moment in μB/f.u.: 7.1

a = 5.272 Å, b = 5.272 Å, c = 5.272 Å
α = 60.00°, β = 60.00°, γ = 60.00°
Fractional positions:
Ga: 0.250 0.250 0.250
Pt: 0.750 0.750 0.750
Gd: 0.000 0.000 0.000
Ac: 0.500 0.500 0.500

Entry 5:
The following is a PBE calculation of a geometry-optimized AcGdPuGa structure, from Alexandria via LeMat-Bulk.

Results
Raw total energy in eV per atom: -8.784
SG: F-43m (216)
Mass density in Mg/m³: 10.16
Size of the total moment in μB/f.u.: 15.0

a = 5.443 Å, b = 5.443 Å, c = 5.443 Å
α = 60.00°, β = 60.00°, γ = 60.00°
Fractional positions:
Pu: 0.750 0.750 0.750
Ac: 0.000 0.000 0.000
Ga: 0.500 0.500 0.500
Gd: 0.250 0.250 0.250

Entry 6:
The following is a PBE calculation of a geometry-optimized AcGdGaRh structure, from Alexandria via LeMat-Bulk.

Results
Raw total energy in eV per atom: -7.630
SG: F-43m (216)
Mass density in Mg/m³: 9.20
Size of the total moment in μB/f.u.: 7.0

a = 5.220 Å, b = 5.220 Å, c = 5.220 Å
α = 60.00°, β = 60.00°, γ = 60.00°
Fractional positions:
Ac: 0.750 0.750 0.750
Gd: 0.250 0.250 0.250
Ga: 0.500 0.500 0.500
Rh: 0.000 0.000 0.000

Entry 7:
The following is a PBE calculation of a geometry-optimized AcGdGaRu structure, from Alexandria via LeMat-Bulk.

Results
Raw total energy in eV per atom: -7.854
SG: F-43m (216)
Mass density in Mg/m³: 9.33
Size of the total moment in μB/f.u.: 6.9

a = 5.188 Å, b = 5.188 Å, c = 5.188 Å
α = 60.00°, β = 60.00°, γ = 60.00°
Fractional positions:
Gd: 0.500 0.500 0.500
Ru: 0.750 0.750 0.750
Ga: 0.250 0.250 0.250
Ac: 0.000 0.000 0.000

Entry 8:
The following is a PBE calculation of a geometry-optimized AcSmGdGa structure, from Alexandria via LeMat-Bulk.

Results
Raw total energy in eV per atom: -6.473
SG: F-43m (216)
Mass density in Mg/m³: 8.31
Size of the total moment in μB/f.u.: 8.2

a = 5.547 Å, b = 5.547 Å, c = 5.547 Å
α = 60.00°, β = 60.00°, γ = 60.00°
Fractional positions:
Sm: 0.250 0.250 0.250
Ac: 0.000 0.000 0.000
Ga: 0.500 0.500 0.500
Gd: 0.750 0.750 0.750

Entry 9:
The following is a PBE calculation of a geometry-optimized Ac4GaGe2 structure, from Alexandria via LeMat-Bulk.

Results
Raw total energy in eV per atom: -4.551
SG: C2/m (12)
Mass density in Mg/m³: 7.13
Size of the total moment in μB/f.u.: 0.0

a = 4.533 Å, b = 8.147 Å, c = 8.358 Å
α = 117.13°, β = 105.73°, γ = 90.00°
Fractional positions:
Ac: 0.623 0.323 0.246
Ac: 0.377 0.677 0.754
Ac: 0.136 0.796 0.272
Ac: 0.864 0.204 0.728
Ga: 0.000 0.000 0.000
Ge: 0.234 0.236 0.469
Ge: 0.766 0.764 0.531

Entry 10:
The following is a PBE calculation of a geometry-optimized AcGaGe2 structure, from Alexandria via LeMat-Bulk.

Results
Raw total energy in eV per atom: -4.490
SG: Cm (8)
Mass density in Mg/m³: 7.23
Size of the total moment in μB/f.u.: 0.0

a = 4.594 Å, b = 4.321 Å, c = 6.007 Å
α = 111.02°, β = 112.48°, γ = 90.00°
Fractional positions:
Ac: 0.548 0.438 0.095
Ga: 0.807 0.225 0.615
Ge: 0.948 0.858 0.896
Ge: 0.197 0.979 0.394

Entry 11:
The following is a PBE calculation of a geometry-optimized Ac6GaGe2 structure, from Alexandria via LeMat-Bulk.

Results
Raw total energy in eV per atom: -4.446
SG: Immm (71)
Mass density in Mg/m³: 7.85
Size of the total moment in μB/f.u.: 0.0

a = 5.414 Å, b = 7.616 Å, c = 9.341 Å
α = 114.06°, β = 106.84°, γ = 90.00°
Fractional positions:
Ac: 0.834 0.085 0.667
Ac: 0.166 0.915 0.333
Ac: 0.166 0.418 0.333
Ac: 0.500 0.749 0.000
Ac: 0.500 0.251 0.000
Ac: 0.834 0.582 0.667
Ge: 0.667 0.668 0.335
Ge: 0.333 0.332 0.665
Ga: 0.000 0.000 0.000

Entry 12:
The following is a PBE calculation of a geometry-optimized Ac6Ga2Ge structure, from Alexandria via LeMat-Bulk.

Results
Raw total energy in eV per atom: -4.238
SG: P2_1/c (14)
Mass density in Mg/m³: 7.87
Size of the total moment in μB/f.u.: 0.0

a = 6.906 Å, b = 8.967 Å, c = 10.730 Å
α = 90.00°, β = 89.50°, γ = 90.00°
Fractional positions:
Ge: 0.500 0.500 0.000
Ge: 0.000 0.000 0.500
Ga: 0.065 0.621 0.250
Ga: 0.565 0.879 0.750
Ga: 0.935 0.379 0.750
Ga: 0.435 0.121 0.250
Ac: 0.138 0.327 0.434
Ac: 0.131 0.323 0.067
Ac: 0.367 0.544 0.731
Ac: 0.369 0.823 0.433
Ac: 0.631 0.177 0.567
Ac: 0.633 0.456 0.269
Ac: 0.869 0.677 0.933
Ac: 0.862 0.673 0.566
Ac: 0.133 0.044 0.769
Ac: 0.638 0.173 0.934
Ac: 0.362 0.827 0.066
Ac: 0.867 0.956 0.231

Entry 13:
The following is a PBE calculation of a geometry-optimized Ac5Ga2Ge structure, from Alexandria via LeMat-Bulk.

Results
Raw total energy in eV per atom: -4.338
SG: I4/mcm (140)
Mass density in Mg/m³: 8.32
Size of the total moment in μB/f.u.: 0.0

a = 8.311 Å, b = 8.311 Å, c = 9.753 Å
α = 115.22°, β = 115.22°, γ = 90.00°
Fractional positions:
Ac: 0.000 0.000 0.000
Ac: 0.477 0.321 0.299
Ac: 0.821 0.977 0.299
Ac: 0.023 0.523 0.701
Ac: 0.679 0.179 0.701
Ac: 0.321 0.821 0.299
Ac: 0.179 0.023 0.701
Ac: 0.977 0.477 0.299
Ac: 0.500 0.500 0.000
Ac: 0.523 0.679 0.701
Ga: 0.884 0.616 0.000
Ga: 0.116 0.384 0.000
Ga: 0.616 0.116 0.000
Ga: 0.384 0.884 0.000
Ge: 0.750 0.750 0.500
Ge: 0.250 0.250 0.500

Entry 14:
The following is a PBE calculation of a geometry-optimized AcGa6Ge2 structure, from Alexandria via LeMat-Bulk.

Results
Raw total energy in eV per atom: -3.665
SG: P4/mmm (123)
Mass density in Mg/m³: 6.85
Size of the total moment in μB/f.u.: 0.0

a = 4.467 Å, b = 4.467 Å, c = 9.605 Å
α = 90.00°, β = 90.00°, γ = 90.00°
Fractional positions:
Ga: 0.000 0.500 0.301
Ga: 0.500 0.000 0.301
Ga: 0.000 0.000 0.500
Ga: 0.500 0.000 0.699
Ga: 0.000 0.500 0.699
Ga: 0.500 0.500 0.500
Ge: 0.500 0.500 0.869
Ge: 0.500 0.500 0.131
Ac: 0.000 0.000 0.000

Entry 15:
The following is a PBE calculation of a geometry-optimized AcGaGe structure, from Alexandria via LeMat-Bulk.

Results
Raw total energy in eV per atom: -4.571
SG: Immm (71)
Mass density in Mg/m³: 7.92
Size of the total moment in μB/f.u.: 0.0

a = 4.398 Å, b = 6.369 Å, c = 6.369 Å
α = 74.26°, β = 69.80°, γ = 69.80°
Fractional positions:
Ge: 0.500 0.328 0.672
Ge: 0.500 0.672 0.328
Ga: 0.000 0.838 0.162
Ga: 0.000 0.162 0.838
Ac: 0.754 0.746 0.746
Ac: 0.246 0.254 0.254

Entry 16:
The following is a PBE calculation of a geometry-optimized Ac3Ga2Ge2 structure, from Alexandria via LeMat-Bulk.

Results
Raw total energy in eV per atom: -4.607
SG: C2/m (12)
Mass density in Mg/m³: 7.95
Size of the total moment in μB/f.u.: 0.0

a = 4.461 Å, b = 6.301 Å, c = 8.688 Å
α = 116.04°, β = 90.00°, γ = 110.73°
Fractional positions:
Ac: 0.500 0.000 0.000
Ac: 0.669 0.339 0.627
Ac: 0.331 0.661 0.373
Ge: 0.963 0.926 0.691
Ge: 0.037 0.074 0.309
Ga: 0.194 0.388 0.930
Ga: 0.806 0.612 0.070

Entry 17:
The following is a PBE calculation of a geometry-optimized Ac3GaGe2 structure, from Alexandria via LeMat-Bulk.

Results
Raw total energy in eV per atom: -4.622
SG: P2/m (10)
Mass density in Mg/m³: 8.32
Size of the total moment in μB/f.u.: 0.0

a = 5.343 Å, b = 8.321 Å, c = 9.434 Å
α = 116.16°, β = 106.32°, γ = 90.00°
Fractional positions:
Ac: 0.172 0.422 0.344
Ac: 0.828 0.578 0.656
Ac: 0.172 0.922 0.344
Ac: 0.500 0.750 0.000
Ac: 0.828 0.078 0.656
Ac: 0.500 0.250 0.000
Ga: 0.000 0.000 0.000
Ga: 0.000 0.500 0.000
Ge: 0.661 0.661 0.322
Ge: 0.339 0.839 0.678
Ge: 0.661 0.161 0.322
Ge: 0.339 0.339 0.678

Entry 18:
The following is a PBE calculation of a geometry-optimized Ac2GaGe3 structure, from Alexandria via LeMat-Bulk.

Results
Raw total energy in eV per atom: -4.809
SG: Fmmm (69)
Mass density in Mg/m³: 7.85
Size of the total moment in μB/f.u.: 0.0

a = 6.388 Å, b = 6.388 Å, c = 8.933 Å
α = 111.17°, β = 111.17°, γ = 89.43°
Fractional positions:
Ge: 0.167 0.167 0.334
Ge: 0.833 0.833 0.666
Ge: 0.171 0.171 0.831
Ge: 0.829 0.829 0.169
Ge: 0.659 0.659 0.831
Ge: 0.341 0.341 0.169
Ga: 0.666 0.666 0.333
Ga: 0.334 0.334 0.667
Ac: 0.246 0.754 0.000
Ac: 0.750 0.250 0.500
Ac: 0.754 0.246 0.000
Ac: 0.250 0.750 0.500

Entry 19:
The following is a PBE calculation of a geometry-optimized AcGa2Ge3 structure, from Alexandria via LeMat-Bulk.

Results
Raw total energy in eV per atom: -4.265
SG: Cmcm (63)
Mass density in Mg/m³: 6.88
Size of the total moment in μB/f.u.: 0.0

a = 6.438 Å, b = 7.078 Å, c = 7.078 Å
α = 119.08°, β = 90.00°, γ = 90.00°
Fractional positions:
Ac: 0.750 0.346 0.654
Ac: 0.250 0.654 0.346
Ge: 0.750 0.825 0.526
Ge: 0.250 0.526 0.825
Ge: 0.250 0.142 0.858
Ge: 0.750 0.858 0.142
Ge: 0.250 0.175 0.474
Ge: 0.750 0.474 0.175
Ga: 0.500 0.183 0.183
Ga: 0.000 0.817 0.817
Ga: 0.000 0.183 0.183
Ga: 0.500 0.817 0.817

Entry 20:
The following is a PBE calculation of a geometry-optimized Ac4Ga2Ge structure, from Alexandria via LeMat-Bulk.

Results
Raw total energy in eV per atom: -4.265
SG: C2/m (12)
Mass density in Mg/m³: 7.80
Size of the total moment in μB/f.u.: 1.1

a = 4.537 Å, b = 6.256 Å, c = 9.530 Å
α = 114.08°, β = 103.77°, γ = 90.00°
Fractional positions:
Ga: 0.737 0.846 0.474
Ga: 0.263 0.154 0.526
Ac: 0.640 0.235 0.280
Ac: 0.100 0.692 0.200
Ac: 0.900 0.308 0.800
Ac: 0.360 0.765 0.720
Ge: 0.000 0.000 0.000

Energy of formation? In order: -0.418; -0.574; 0.003; -0.711; 0.103; -0.488; -0.231; 0.010; -0.452; -0.398; -0.344; -0.313; -0.437; -0.165; -0.653; -0.663; -0.524; -0.626; -0.263; -0.393 eV/atom.